(1)
{"formula": "NbZn2Fe", "functional": "GGA-PBE", "state": "relaxed", "lattice_angstrom": [[2.762, 0.000, 0.000], [0.000, 2.762, 0.000], [0.000, 0.000, 7.671]], "species": ["Nb", "Zn", "Zn", "Fe"], "frac_coords": [[0.000, 0.000, 0.000], [0.500, 0.500, 0.272], [0.500, 0.500, 0.728], [0.000, 0.000, 0.500]], "sg": "P4/mmm", "delta_e_f_ev_per_atom": 0.01, "total_magnetization_mub_per_fu": 2.571}

---

(2)
{"formula": "Nb2Zn2Fe15", "functional": "GGA-PBE", "state": "relaxed", "lattice_angstrom": [[4.085, 2.359, 4.105], [-4.085, 2.359, 4.105], [0.000, -4.717, 4.105]], "species": ["Nb", "Nb", "Zn", "Zn", "Fe", "Fe", "Fe", "Fe", "Fe", "Fe", "Fe", "Fe", "Fe", "Fe", "Fe", "Fe", "Fe", "Fe", "Fe"], "frac_coords": [[0.155, 0.155, 0.155], [0.845, 0.845, 0.845], [0.401, 0.401, 0.401], [0.599, 0.599, 0.599], [0.000, 0.500, 0.500], [0.158, 0.158, 0.666], [0.158, 0.666, 0.158], [0.179, 0.500, 0.821], [0.179, 0.821, 0.500], [0.334, 0.842, 0.842], [0.500, 0.000, 0.500], [0.500, 0.179, 0.821], [0.500, 0.500, 0.000], [0.500, 0.821, 0.179], [0.666, 0.158, 0.158], [0.821, 0.179, 0.500], [0.821, 0.500, 0.179], [0.842, 0.334, 0.842], [0.842, 0.842, 0.334]], "sg": "R-3m", "delta_e_f_ev_per_atom": 0.07, "total_magnetization_mub_per_fu": 27.613}

---

(3)
{"formula": "NbZn2Fe2", "functional": "GGA-PBE", "state": "relaxed", "lattice_angstrom": [[6.928, 0.000, 0.000], [0.000, 6.928, 0.000], [0.000, 0.000, 2.782]], "species": ["Nb", "Nb", "Zn", "Zn", "Zn", "Zn", "Fe", "Fe", "Fe", "Fe"], "frac_coords": [[0.000, 0.000, 0.000], [0.500, 0.500, 0.000], [0.123, 0.377, 0.000], [0.377, 0.877, 0.000], [0.623, 0.123, 0.000], [0.877, 0.623, 0.000], [0.176, 0.676, 0.500], [0.324, 0.176, 0.500], [0.676, 0.824, 0.500], [0.824, 0.324, 0.500]], "sg": "P4/mbm", "delta_e_f_ev_per_atom": 0.23, "total_magnetization_mub_per_fu": 0.000}

---

(4)
{"formula": "Nb3ZnFe", "functional": "GGA-PBE", "state": "relaxed", "lattice_angstrom": [[4.655, 0.000, 0.000], [0.000, 4.655, 0.000], [0.000, 0.000, 4.655]], "species": ["Nb", "Nb", "Nb", "Zn", "Fe"], "frac_coords": [[0.000, 0.000, 0.500], [0.000, 0.500, 0.000], [0.500, 0.000, 0.000], [0.000, 0.000, 0.000], [0.500, 0.500, 0.500]], "sg": "Pm-3m", "delta_e_f_ev_per_atom": 1.68, "total_magnetization_mub_per_fu": 0.720}

---

(5)
{"formula": "Nb2ZnFe", "functional": "GGA-PBE", "state": "relaxed", "lattice_angstrom": [[4.035, 0.000, 0.000], [0.000, 4.035, 0.000], [0.000, 0.000, 3.788]], "species": ["Nb", "Nb", "Zn", "Fe"], "frac_coords": [[0.000, 0.500, 0.000], [0.500, 0.000, 0.000], [0.000, 0.000, 0.500], [0.500, 0.500, 0.500]], "sg": "P4/mmm", "delta_e_f_ev_per_atom": 0.03, "total_magnetization_mub_per_fu": 1.328}

---

(6)
{"formula": "NbZn2Fe", "functional": "GGA-PBE", "state": "relaxed", "lattice_angstrom": [[7.002, 0.000, 0.000], [0.000, 7.002, 0.000], [0.000, 0.000, 5.101]], "species": ["Nb", "Nb", "Nb", "Nb", "Zn", "Zn", "Zn", "Zn", "Zn", "Zn", "Zn", "Zn", "Fe", "Fe", "Fe", "Fe"], "frac_coords": [[0.000, 0.000, 0.000], [0.000, 0.500, 0.250], [0.500, 0.000, 0.750], [0.500, 0.500, 0.500], [0.223, 0.750, 0.625], [0.250, 0.223, 0.375], [0.250, 0.277, 0.875], [0.277, 0.750, 0.125], [0.723, 0.250, 0.125], [0.750, 0.723, 0.875], [0.750, 0.777, 0.375], [0.777, 0.250, 0.625], [0.000, 0.000, 0.500], [0.000, 0.500, 0.750], [0.500, 0.000, 0.250], [0.500, 0.500, 0.000]], "sg": "I-42d", "delta_e_f_ev_per_atom": 0.40, "total_magnetization_mub_per_fu": 1.988}

---

(7)
{"formula": "Nb2ZnFe", "functional": "GGA-PBE", "state": "relaxed", "lattice_angstrom": [[7.086, 0.000, 0.000], [0.000, 7.086, 0.000], [0.000, 0.000, 5.278]], "species": ["Nb", "Nb", "Nb", "Nb", "Nb", "Nb", "Nb", "Nb", "Zn", "Zn", "Zn", "Zn", "Fe", "Fe", "Fe", "Fe"], "frac_coords": [[0.203, 0.750, 0.125], [0.250, 0.203, 0.875], [0.250, 0.297, 0.375], [0.297, 0.750, 0.625], [0.703, 0.250, 0.625], [0.750, 0.703, 0.375], [0.750, 0.797, 0.875], [0.797, 0.250, 0.125], [0.000, 0.000, 0.500], [0.000, 0.500, 0.750], [0.500, 0.000, 0.250], [0.500, 0.500, 0.000], [0.000, 0.000, 0.000], [0.000, 0.500, 0.250], [0.500, 0.000, 0.750], [0.500, 0.500, 0.500]], "sg": "I-42d", "delta_e_f_ev_per_atom": 0.36, "total_magnetization_mub_per_fu": 0.000}

---

(8)
{"formula": "NbZn2Fe", "functional": "GGA-PBE", "state": "relaxed", "lattice_angstrom": [[6.077, 0.000, 0.000], [0.000, 6.077, 0.000], [0.000, 0.000, 6.077]], "species": ["Nb", "Nb", "Nb", "Nb", "Zn", "Zn", "Zn", "Zn", "Zn", "Zn", "Zn", "Zn", "Fe", "Fe", "Fe", "Fe"], "frac_coords": [[0.000, 0.000, 0.000], [0.000, 0.500, 0.500], [0.500, 0.000, 0.500], [0.500, 0.500, 0.000], [0.250, 0.250, 0.250], [0.250, 0.250, 0.750], [0.250, 0.750, 0.250], [0.250, 0.750, 0.750], [0.750, 0.250, 0.250], [0.750, 0.250, 0.750], [0.750, 0.750, 0.250], [0.750, 0.750, 0.750], [0.000, 0.000, 0.500], [0.000, 0.500, 0.000], [0.500, 0.000, 0.000], [0.500, 0.500, 0.500]], "sg": "Fm-3m", "delta_e_f_ev_per_atom": 0.21, "total_magnetization_mub_per_fu": 0.000}

---

(9)
{"formula": "Nb2ZnFe", "functional": "GGA-PBE", "state": "relaxed", "lattice_angstrom": [[2.900, 0.000, 0.000], [0.000, 2.900, 0.000], [0.000, 0.000, 7.303]], "species": ["Nb", "Nb", "Zn", "Fe"], "frac_coords": [[0.000, 0.000, 0.228], [0.000, 0.000, 0.772], [0.500, 0.500, 0.500], [0.500, 0.500, 0.000]], "sg": "P4/mmm", "delta_e_f_ev_per_atom": 0.00, "total_magnetization_mub_per_fu": 0.004}

---

(10)
{"formula": "NbZn4Fe", "functional": "GGA-PBE", "state": "relaxed", "lattice_angstrom": [[5.916, -2.608, 0.000], [5.916, 2.608, 0.000], [-2.713, 0.000, 5.928]], "species": ["Nb", "Nb", "Zn", "Zn", "Zn", "Zn", "Zn", "Zn", "Zn", "Zn", "Fe", "Fe"], "frac_coords": [[0.177, 0.177, 0.407], [0.823, 0.823, 0.593], [0.157, 0.656, 0.298], [0.244, 0.756, 0.000], [0.294, 0.294, 0.891], [0.344, 0.843, 0.702], [0.656, 0.157, 0.298], [0.706, 0.706, 0.109], [0.756, 0.244, 0.000], [0.843, 0.344, 0.702], [0.390, 0.390, 0.614], [0.610, 0.610, 0.386]], "sg": "C2/m", "delta_e_f_ev_per_atom": 0.06, "total_magnetization_mub_per_fu": 0.000}

---

(11)
{"formula": "NbZn2Fe2", "functional": "GGA-PBE", "state": "relaxed", "lattice_angstrom": [[7.247, 0.000, 0.000], [0.000, 7.247, 0.000], [0.000, 0.000, 2.662]], "species": ["Nb", "Nb", "Zn", "Zn", "Zn", "Zn", "Fe", "Fe", "Fe", "Fe"], "frac_coords": [[0.000, 0.000, 0.000], [0.500, 0.500, 0.000], [0.179, 0.321, 0.500], [0.321, 0.821, 0.500], [0.679, 0.179, 0.500], [0.821, 0.679, 0.500], [0.116, 0.616, 0.000], [0.384, 0.116, 0.000], [0.616, 0.884, 0.000], [0.884, 0.384, 0.000]], "sg": "P4/mbm", "delta_e_f_ev_per_atom": 0.13, "total_magnetization_mub_per_fu": 4.544}

---

(12)
{"formula": "NbZn4Fe", "functional": "GGA-PBE", "state": "relaxed", "lattice_angstrom": [[0.000, 3.511, 3.511], [3.511, 0.000, 3.511], [3.511, 3.511, 0.000]], "species": ["Nb", "Zn", "Zn", "Zn", "Zn", "Fe"], "frac_coords": [[0.000, 0.000, 0.000], [0.375, 0.375, 0.375], [0.375, 0.375, 0.875], [0.375, 0.875, 0.375], [0.875, 0.375, 0.375], [0.750, 0.750, 0.750]], "sg": "F-43m", "delta_e_f_ev_per_atom": 0.09, "total_magnetization_mub_per_fu": 1.673}

---

(13)
{"formula": "Nb3ZnFe", "functional": "GGA-PBE", "state": "relaxed", "lattice_angstrom": [[4.586, 0.000, 0.000], [0.000, 4.586, 0.000], [0.000, 0.000, 4.586]], "species": ["Nb", "Nb", "Nb", "Zn", "Fe"], "frac_coords": [[0.000, 0.000, 0.500], [0.000, 0.500, 0.000], [0.500, 0.000, 0.000], [0.500, 0.500, 0.500], [0.000, 0.000, 0.000]], "sg": "Pm-3m", "delta_e_f_ev_per_atom": 0.66, "total_magnetization_mub_per_fu": 0.000}

---

(14)
{"formula": "NbZn2Fe9", "functional": "GGA-PBE", "state": "relaxed", "lattice_angstrom": [[2.370, 1.368, 7.783], [-2.370, 1.368, 7.783], [0.000, -2.736, 7.783]], "species": ["Nb", "Zn", "Zn", "Fe", "Fe", "Fe", "Fe", "Fe", "Fe", "Fe", "Fe", "Fe"], "frac_coords": [[0.000, 0.000, 0.000], [0.142, 0.142, 0.142], [0.858, 0.858, 0.858], [0.080, 0.589, 0.589], [0.335, 0.335, 0.335], [0.411, 0.411, 0.920], [0.411, 0.920, 0.411], [0.500, 0.500, 0.500], [0.589, 0.080, 0.589], [0.589, 0.589, 0.080], [0.665, 0.665, 0.665], [0.920, 0.411, 0.411]], "sg": "R-3m", "delta_e_f_ev_per_atom": 0.12, "total_magnetization_mub_per_fu": 15.850}

---

(15)
{"formula": "ZrNbZn2Fe", "functional": "GGA-PBE", "state": "relaxed", "lattice_angstrom": [[5.058, 0.000, 0.000], [0.000, 5.058, 0.000], [0.000, 0.000, 4.848]], "species": ["Zr", "Nb", "Zn", "Zn", "Fe"], "frac_coords": [[0.000, 0.000, 0.000], [0.000, 0.000, 0.500], [0.000, 0.500, 0.000], [0.500, 0.000, 0.000], [0.500, 0.500, 0.500]], "sg": "P4/mmm", "delta_e_f_ev_per_atom": 1.60, "total_magnetization_mub_per_fu": 2.613}

---

(16)
{"formula": "ZrNbFe", "functional": "GGA-PBE", "state": "relaxed", "lattice_angstrom": [[10.448, 0.000, 0.000], [0.000, 3.205, 0.000], [-4.407, 0.000, 6.254]], "species": ["Zr", "Zr", "Zr", "Zr", "Nb", "Nb", "Nb", "Nb", "Fe", "Fe", "Fe", "Fe"], "frac_coords": [[0.000, 0.000, 0.000], [0.249, 0.500, 0.439], [0.500, 0.500, 0.000], [0.749, 0.000, 0.439], [0.094, 0.500, 0.722], [0.329, 0.000, 0.146], [0.594, 0.000, 0.722], [0.829, 0.500, 0.146], [0.011, 0.000, 0.411], [0.293, 0.000, 0.738], [0.511, 0.500, 0.411], [0.793, 0.500, 0.738]], "sg": "Cm", "delta_e_f_ev_per_atom": -0.03, "total_magnetization_mub_per_fu": 0.000}

---

(17)
{"formula": "Zr3NbFe8", "functional": "GGA-PBE", "state": "relaxed", "lattice_angstrom": [[2.469, 1.426, 8.069], [-2.469, 1.426, 8.069], [0.000, -2.851, 8.069]], "species": ["Zr", "Zr", "Zr", "Nb", "Fe", "Fe", "Fe", "Fe", "Fe", "Fe", "Fe", "Fe"], "frac_coords": [[0.000, 0.000, 0.000], [0.126, 0.126, 0.126], [0.624, 0.624, 0.624], [0.500, 0.500, 0.500], [0.061, 0.061, 0.561], [0.061, 0.561, 0.061], [0.064, 0.563, 0.563], [0.312, 0.312, 0.312], [0.561, 0.061, 0.061], [0.563, 0.064, 0.563], [0.563, 0.563, 0.064], [0.813, 0.813, 0.813]], "sg": "R3m", "delta_e_f_ev_per_atom": -0.23, "total_magnetization_mub_per_fu": 11.920}

---

(18)
{"formula": "ZrNbFe", "functional": "GGA-PBE", "state": "relaxed", "lattice_angstrom": [[3.166, 0.000, 0.000], [0.000, 3.166, 0.000], [0.000, 0.000, 10.263]], "species": ["Zr", "Zr", "Nb", "Nb", "Fe", "Fe"], "frac_coords": [[0.000, 0.000, 0.000], [0.500, 0.500, 0.500], [0.000, 0.000, 0.304], [0.500, 0.500, 0.804], [0.000, 0.000, 0.667], [0.500, 0.500, 0.167]], "sg": "I4mm", "delta_e_f_ev_per_atom": -0.05, "total_magnetization_mub_per_fu": 0.824}

---

(19)
{"formula": "ZrNb3Fe", "functional": "GGA-PBE", "state": "relaxed", "lattice_angstrom": [[4.831, 0.000, 0.000], [0.000, 4.831, 0.000], [0.000, 0.000, 4.831]], "species": ["Zr", "Nb", "Nb", "Nb", "Fe"], "frac_coords": [[0.000, 0.000, 0.000], [0.000, 0.000, 0.500], [0.000, 0.500, 0.000], [0.500, 0.000, 0.000], [0.500, 0.500, 0.500]], "sg": "Pm-3m", "delta_e_f_ev_per_atom": 2.18, "total_magnetization_mub_per_fu": 0.031}

---

(20)
{"formula": "ZrNb3Fe", "functional": "GGA-PBE", "state": "relaxed", "lattice_angstrom": [[4.642, 0.000, 0.000], [0.000, 4.642, 0.000], [0.000, 0.000, 4.642]], "species": ["Zr", "Nb", "Nb", "Nb", "Fe"], "frac_coords": [[0.000, 0.000, 0.000], [0.000, 0.500, 0.500], [0.500, 0.000, 0.500], [0.500, 0.500, 0.000], [0.500, 0.500, 0.500]], "sg": "Pm-3m", "delta_e_f_ev_per_atom": 0.51, "total_magnetization_mub_per_fu": 0.000}

---

(21)
{"formula": "Zr2Nb2Fe", "functional": "GGA-PBE", "state": "relaxed", "lattice_angstrom": [[6.417, 0.000, 0.000], [0.000, 6.417, 0.000], [0.000, 0.000, 4.739]], "species": ["Zr", "Zr", "Zr", "Zr", "Nb", "Nb", "Nb", "Nb", "Fe", "Fe"], "frac_coords": [[0.165, 0.335, 0.000], [0.335, 0.835, 0.000], [0.665, 0.165, 0.000], [0.835, 0.665, 0.000], [0.155, 0.655, 0.500], [0.345, 0.155, 0.500], [0.655, 0.845, 0.500], [0.845, 0.345, 0.500], [0.000, 0.000, 0.500], [0.500, 0.500, 0.500]], "sg": "P4/mbm", "delta_e_f_ev_per_atom": 0.19, "total_magnetization_mub_per_fu": 0.000}

---

(22)
{"formula": "ZrNb3Fe8", "functional": "GGA-PBE", "state": "relaxed", "lattice_angstrom": [[2.430, 1.403, 7.939], [-2.430, 1.403, 7.939], [0.000, -2.806, 7.939]], "species": ["Zr", "Nb", "Nb", "Nb", "Fe", "Fe", "Fe", "Fe", "Fe", "Fe", "Fe", "Fe"], "frac_coords": [[0.000, 0.000, 0.000], [0.127, 0.127, 0.127], [0.499, 0.499, 0.499], [0.622, 0.622, 0.622], [0.062, 0.062, 0.561], [0.062, 0.561, 0.062], [0.063, 0.563, 0.563], [0.312, 0.312, 0.312], [0.561, 0.062, 0.062], [0.563, 0.063, 0.563], [0.563, 0.563, 0.063], [0.812, 0.812, 0.812]], "sg": "R3m", "delta_e_f_ev_per_atom": -0.16, "total_magnetization_mub_per_fu": 10.726}

---

(23)
{"formula": "ZrNbFe3", "functional": "GGA-PBE", "state": "relaxed", "lattice_angstrom": [[4.471, 0.000, 0.000], [0.000, 4.471, 0.000], [0.000, 0.000, 4.471]], "species": ["Zr", "Nb", "Fe", "Fe", "Fe"], "frac_coords": [[0.000, 0.000, 0.000], [0.500, 0.500, 0.500], [0.000, 0.500, 0.500], [0.500, 0.000, 0.500], [0.500, 0.500, 0.000]], "sg": "Pm-3m", "delta_e_f_ev_per_atom": 1.03, "total_magnetization_mub_per_fu": 3.094}

---

(24)
{"formula": "ZrNbFe", "functional": "GGA-PBE", "state": "relaxed", "lattice_angstrom": [[12.737, 0.000, 0.000], [0.000, 3.191, 0.000], [-2.718, 0.000, 5.220]], "species": ["Zr", "Zr", "Zr", "Zr", "Nb", "Nb", "Nb", "Nb", "Fe", "Fe", "Fe", "Fe"], "frac_coords": [[0.000, 0.000, 0.000], [0.216, 0.500, 0.462], [0.500, 0.500, 0.000], [0.716, 0.000, 0.462], [0.288, 0.000, 0.037], [0.499, 0.500, 0.481], [0.788, 0.500, 0.037], [0.999, 0.000, 0.481], [0.131, 0.500, 0.862], [0.385, 0.000, 0.610], [0.631, 0.000, 0.862], [0.885, 0.500, 0.610]], "sg": "Cm", "delta_e_f_ev_per_atom": 0.00, "total_magnetization_mub_per_fu": 0.000}

---

(25)
{"formula": "ZrNbFe2", "functional": "GGA-PBE", "state": "relaxed", "lattice_angstrom": [[3.114, 0.000, 0.000], [0.000, 3.114, 0.000], [0.000, 0.000, 6.298]], "species": ["Zr", "Nb", "Fe", "Fe"], "frac_coords": [[0.000, 0.000, 0.000], [0.000, 0.000, 0.500], [0.500, 0.500, 0.266], [0.500, 0.500, 0.734]], "sg": "P4/mmm", "delta_e_f_ev_per_atom": -0.11, "total_magnetization_mub_per_fu": 1.086}